Compound: V2Ni3Pt8
Source: Alexandria via LeMat-Bulk
Functional: PBE
Structure: relaxed

## Properties
As for the volume: 15.12 Å³/atom. For the energy of formation, the calculation gives -0.124 eV per atom.

Lattice parameters (Å, degrees): 11.4908 8.0451 4.3653 90.00 103.00 90.00
Space group C2/m (No. 12)
One atom of each set of equivalent atoms:
1 V 0.1786 0.0000 0.3285 x4
2 Ni 0.0000 0.2905 0.0000 x4
3 Ni 0.0000 0.5000 0.5000 x2
4 Pt 0.0671 0.0000 0.7914 x4
5 Pt 0.1506 0.2813 0.5954 x8
6 Pt 0.1808 0.5000 0.1064 x4